A relaxed structure of HfTiNb3, computed with PBE.

a = 4.881 Å, b = 4.881 Å, c = 4.881 Å
α = 90.00°, β = 90.00°, γ = 90.00°
Space group Pm-3m (No. 221)
Unique sites:
Hf  0.000  0.000  0.000 (multiplicity 1)
Ti  0.500  0.500  0.500 (multiplicity 1)
Nb  0.000  0.000  0.500 (multiplicity 3)

Output
- Size of the total moment: 0.00 μB/f.u.
- Energy above the lowest structure with this stoichiometry: 7.65 eV/f.u.